# PBE with a Hubbard U NaSiMoO4, relaxed
data_NaSiMoO4
_symmetry_space_group_name_H-M 'C m c m'
_symmetry_Int_Tables_number 63
_symmetry_space_group_name_Hall '-C 2c 2'
_cell_length_a 5.489
_cell_length_b 8.828
_cell_length_c 6.872
_cell_angle_alpha 90.00
_cell_angle_beta 90.00
_cell_angle_gamma 90.00
loop_
_atom_site_label
_atom_site_type_symbol
_atom_site_fract_x
_atom_site_fract_y
_atom_site_fract_z
_atom_site_occupancy
Na1 Na 0.000 0.182 0.250 1
Si1 Si 0.000 0.160 0.750 1
Mo1 Mo 0.000 0.500 0.000 1
O1 O 0.000 0.264 0.558 1
O2 O 0.246 0.044 0.750 1
# volume: 11.9 A^3/atom
# total DFT energy (no corrections): -7.00 eV/atom